Density functional theory data (GGA-PBE) for RbThBS4 after structural relaxation.

Output
Total moment ... 0.000 μB/f.u.
Formation energy (no corrections) ... -1.350 eV per atom
Total energy ... -0.2154 hartree per atom
Calculated volume ... 24.72 Å³ per atom
DOS(E_F) ... 0.00 states/eV/cell

Cell lengths 6.174, 6.421, 9.202 Å; angles 90.00, 108.46, 90.00 degrees
Element x y z (fractional)
Rb  0.722  0.750  0.936
Rb  0.278  0.250  0.064
Th  0.762  0.750  0.449
Th  0.238  0.250  0.551
B  0.201  0.750  0.328
B  0.799  0.250  0.672
S  0.997  0.493  0.709
S  0.003  0.993  0.291
S  0.003  0.507  0.291
S  0.997  0.007  0.709
S  0.384  0.750  0.192
S  0.616  0.250  0.808
S  0.377  0.750  0.548
S  0.623  0.250  0.452


Density functional theory data (GGA-PBE) for Rb2TlBS4 after structural relaxation.

Output
Total moment ... 0.000 μB/f.u.
Formation energy (no corrections) ... -0.614 eV per atom
Total energy ... -0.1488 hartree per atom
Calculated volume ... 31.15 Å³ per atom

Cell lengths 6.143, 7.410, 12.417 Å; angles 84.11, 75.68, 65.51 degrees
Element x y z (fractional)
Rb  0.181  0.000  0.637
Rb  0.819  0.000  0.363
Rb  0.569  0.500  0.863
Rb  0.931  0.500  0.137
Tl  0.750  0.500  0.500
Tl  0.000  0.000  0.000
B  0.250  0.500  0.500
B  0.500  0.000  0.000
S  0.355  0.829  0.094
S  0.278  0.171  0.906
S  0.816  0.829  0.906
S  0.551  0.171  0.094
S  0.395  0.671  0.406
S  0.472  0.329  0.594
S  0.934  0.671  0.594
S  0.199  0.329  0.406